[1]
Compound: ReNiRh5
Source: Alexandria via LeMat-Bulk
Functional: PBE
Structure: relaxed

Results
DFT formation energy: 1.9 eV/f.u.
Space group: C2/c, No. 15
E_tot: -7.591 eV per atom

a b c (Å): 6.456 6.456 9.047
angles (deg): 54.50 54.50 45.16
Fractional coordinates of all 14 atoms:
Re (0.733, 0.267, 0.250)
Re (0.267, 0.733, 0.750)
Ni (0.000, 0.000, 0.000)
Ni (0.000, 0.000, 0.500)
Rh (0.777, 0.760, 0.048)
Rh (0.335, 0.393, 0.595)
Rh (0.760, 0.777, 0.548)
Rh (0.239, 0.761, 0.250)
Rh (0.607, 0.665, 0.905)
Rh (0.393, 0.335, 0.095)
Rh (0.761, 0.239, 0.750)
Rh (0.240, 0.223, 0.452)
Rh (0.665, 0.607, 0.405)
Rh (0.223, 0.240, 0.952)

[2]
Compound: AlHPd3
Source: Alexandria via LeMat-Bulk
Functional: PBE
Structure: relaxed

Results
Space group: Cm, No. 8
Distance to the lowest polymorph of the same formula: 0.057 eV/atom
E_tot: -5.032 eV per atom

a b c (Å): 5.552 5.555 4.684
angles (deg): 82.85 82.83 60.94
Fractional coordinates of all 10 atoms:
H (0.597, 0.431, 0.416)
H (0.597, 0.432, 0.916)
Al (0.949, 0.784, 0.178)
Al (0.244, 0.078, 0.651)
Pd (0.764, 0.597, 0.609)
Pd (0.946, 0.270, 0.132)
Pd (0.757, 0.081, 0.697)
Pd (0.247, 0.592, 0.697)
Pd (0.430, 0.265, 0.219)
Pd (0.436, 0.781, 0.132)

[3]
Compound: Sc2AlCl
Source: Alexandria via LeMat-Bulk
Functional: PBE
Structure: relaxed

Results
Space group: Imm2, No. 44
E_form (uncorrected): -0.561 eV per atom
Distance to the lowest polymorph of the same formula: 0.243 eV/atom
E_tot: -5.124 eV per atom

a b c (Å): 6.370 6.370 6.370
angles (deg): 150.92 137.77 52.09
Fractional coordinates of all 4 atoms:
Sc (0.028, 0.028, 0.000)
Sc (0.787, 0.287, 0.500)
Al (0.472, 0.472, 0.000)
Cl (0.213, 0.713, 0.500)

[4]
Compound: AcZn2Ga
Source: Alexandria via LeMat-Bulk
Functional: PBE
Structure: relaxed

Results
DFT formation energy: -0.5 eV/f.u.
Space group: P4/mmm, No. 123
E_tot: -2.538 eV per atom

a b c (Å): 3.628 3.628 7.045
angles (deg): 90.00 90.00 90.00
Fractional coordinates of all 4 atoms:
Ac (0.500, 0.500, 0.500)
Zn (0.000, 0.000, 0.809)
Zn (0.000, 0.000, 0.191)
Ga (0.500, 0.500, 0.000)

[5]
Compound: DyAlCo4
Source: Alexandria via LeMat-Bulk
Functional: PBE
Structure: relaxed

Results
DFT formation energy: -1.5 eV/f.u.
Space group: P-6m2, No. 187
Distance to the lowest polymorph of the same formula: 0.000 eV/atom
E_tot: -6.384 eV per atom

a b c (Å): 3.887 5.039 5.038
angles (deg): 60.00 90.00 90.00
Fractional coordinates of all 6 atoms:
Dy (0.000, 0.000, 0.000)
Al (0.000, 0.333, 0.333)
Co (0.000, 0.667, 0.667)
Co (0.500, 0.503, 0.503)
Co (0.500, 0.503, 0.994)
Co (0.500, 0.994, 0.503)

[6]
Compound: Ba2AgMo
Source: Alexandria via LeMat-Bulk
Functional: PBE
Structure: relaxed

Results
DFT formation energy: 3.1 eV/f.u.
Space group: P4/mmm, No. 123
Distance to the lowest polymorph of the same formula: 0.189 eV/atom
E_tot: -3.596 eV per atom

a b c (Å): 3.488 3.488 9.914
angles (deg): 90.00 90.00 90.00
Fractional coordinates of all 4 atoms:
Ag (0.500, 0.500, 0.750)
Ba (0.000, 0.000, 0.005)
Ba (0.000, 0.000, 0.495)
Mo (0.500, 0.500, 0.250)

[7]
Compound: Sm2SbIr
Source: Alexandria via LeMat-Bulk
Functional: PBE
Structure: relaxed

Results
Space group: P2_1/m, No. 11
E_form (uncorrected): -0.907 eV per atom
Distance to the lowest polymorph of the same formula: 0.000 eV/atom
E_tot: -6.513 eV per atom

a b c (Å): 4.306 6.199 8.493
angles (deg): 112.25 90.00 90.00
Fractional coordinates of all 8 atoms:
Sm (0.750, 0.204, 0.451)
Sm (0.250, 0.796, 0.549)
Sm (0.250, 0.770, 0.100)
Sm (0.750, 0.230, 0.900)
Sb (0.250, 0.326, 0.208)
Sb (0.750, 0.674, 0.792)
Ir (0.750, 0.669, 0.291)
Ir (0.250, 0.331, 0.709)

[8]
Compound: Pa5Ge5Rh2
Source: Alexandria via LeMat-Bulk
Functional: PBE
Structure: relaxed

Results
DFT formation energy: -7.0 eV/f.u.
Space group: C2/m, No. 12
E_tot: -7.688 eV per atom

a b c (Å): 4.112 7.810 8.480
angles (deg): 88.81 75.97 74.74
Fractional coordinates of all 12 atoms:
Pa (0.500, 0.500, 0.500)
Pa (0.407, 0.291, 0.895)
Pa (0.333, 0.038, 0.295)
Pa (0.667, 0.962, 0.705)
Pa (0.593, 0.709, 0.105)
Ge (0.919, 0.775, 0.386)
Ge (0.234, 0.708, 0.824)
Ge (0.766, 0.292, 0.176)
Ge (0.081, 0.225, 0.614)
Ge (0.000, 0.000, 0.000)
Rh (0.853, 0.528, 0.766)
Rh (0.147, 0.472, 0.234)